# 1
Density functional theory data (PBE-GGA) for an optimized crystal structure of V2FeCu.

## Properties
energy of formation from the pure elements = 0.42 eV per atom
density of states at the Fermi level = 3.80 states/eV/f.u.
raw total energy = -7.280 eV per atom

Geometry as POSCAR:
```
V2FeCu
1.0
6.498 0.000 0.000
0.000 6.498 0.000
3.249 3.249 2.490
Fe Cu V
2 2 4
Direct
0.500 0.500 0.000
0.250 0.750 0.500
0.000 0.000 0.000
0.750 0.250 0.500
0.593 0.125 0.250
0.157 0.625 0.250
0.375 0.407 0.750
0.875 0.843 0.750
```

=====

# 2
Density functional theory data (PBE-GGA) for an optimized crystal structure of V2FeCu.

## Properties
energy of formation from the pure elements = 0.05 eV per atom
density of states at the Fermi level = 5.21 states/eV/f.u.
raw total energy = -7.645 eV per atom

Geometry as POSCAR:
```
V2FeCu
1.0
2.703 0.000 0.000
0.000 2.703 0.000
0.000 0.000 6.769
Fe Cu V
1 1 2
Direct
0.500 0.500 0.500
0.500 0.500 0.000
0.000 0.000 0.730
0.000 0.000 0.270
```

=====

# 3
Density functional theory data (PBE-GGA) for an optimized crystal structure of VFe4Cu.

## Properties
energy of formation from the pure elements = 0.05 eV per atom
density of states at the Fermi level = 3.89 states/eV/f.u.
raw total energy = -7.798 eV per atom

Geometry as POSCAR:
```
VFe4Cu
1.0
4.667 0.000 0.000
2.334 4.042 0.000
2.334 1.347 3.811
Fe Cu V
4 1 1
Direct
0.626 0.626 0.123
0.626 0.123 0.626
0.626 0.626 0.626
0.123 0.626 0.626
0.000 0.000 0.000
0.250 0.250 0.250
```

=====

# 4
Density functional theory data (PBE-GGA) for an optimized crystal structure of VFe2Cu.

## Properties
energy of formation from the pure elements = 0.00 eV per atom
density of states at the Fermi level = 2.27 states/eV/f.u.
raw total energy = -7.537 eV per atom

Geometry as POSCAR:
```
VFe2Cu
1.0
-0.517 -2.902 1.764
1.829 -1.895 -2.583
3.155 0.551 1.830
Fe Cu V
2 1 1
Direct
0.000 0.000 0.500
0.000 0.500 0.000
0.500 0.000 0.000
0.500 0.500 0.500
```

=====

# 5
Density functional theory data (PBE-GGA) for an optimized crystal structure of V2FeCu2.

## Properties
energy of formation from the pure elements = 0.36 eV per atom
density of states at the Fermi level = 4.63 states/eV/f.u.
raw total energy = -6.623 eV per atom

Geometry as POSCAR:
```
V2FeCu2
1.0
-1.304 -3.015 -5.601
-4.584 -3.519 2.961
-2.117 2.183 -0.682
Fe Cu V
2 4 4
Direct
0.000 0.000 0.000
0.500 0.500 0.000
0.372 0.872 0.000
0.872 0.628 0.000
0.628 0.128 0.000
0.128 0.372 0.000
0.174 0.674 0.500
0.674 0.826 0.500
0.826 0.326 0.500
0.326 0.174 0.500
```

=====

# 6
Density functional theory data (PBE-GGA) for an optimized crystal structure of VFe2Cu2.

## Properties
energy of formation from the pure elements = 0.31 eV per atom
density of states at the Fermi level = 5.59 states/eV/f.u.
relative energy among the computed polymorphs = 4 meV/atom
raw total energy = -6.534 eV per atom

Geometry as POSCAR:
```
VFe2Cu2
1.0
6.979 0.000 0.000
0.000 6.979 0.000
0.000 0.000 2.588
Fe Cu V
4 4 2
Direct
0.176 0.676 0.500
0.676 0.824 0.500
0.824 0.324 0.500
0.324 0.176 0.500
0.378 0.878 0.000
0.878 0.622 0.000
0.622 0.122 0.000
0.122 0.378 0.000
0.000 0.000 0.000
0.500 0.500 0.000
```

=====

# 7
Density functional theory data (PBE-GGA) for an optimized crystal structure of VFeCu.

## Properties
energy of formation from the pure elements = -0.01 eV per atom
density of states at the Fermi level = 1.41 states/eV/f.u.
relative energy among the computed polymorphs = 0 meV/atom
raw total energy = -7.240 eV per atom

Geometry as POSCAR:
```
VFeCu
1.0
-0.276 -3.042 -2.541
2.782 -0.058 -0.232
1.163 -10.182 -0.247
V Fe Cu
2 2 2
Direct
0.629 0.054 0.840
0.825 0.230 0.489
0.207 0.574 0.801
0.248 0.710 0.527
0.917 0.377 0.194
0.537 0.907 0.134
```

=====

# 8
Density functional theory data (PBE-GGA) for an optimized crystal structure of VFe3Cu.

## Properties
energy of formation from the pure elements = 1.16 eV per atom
density of states at the Fermi level = 3.28 states/eV/f.u.
relative energy among the computed polymorphs = 0 meV/atom
raw total energy = -6.564 eV per atom

Geometry as POSCAR:
```
VFe3Cu
1.0
4.225 0.000 0.000
0.000 4.225 0.000
0.000 0.000 4.225
Fe Cu V
3 1 1
Direct
0.000 0.500 0.000
0.000 0.000 0.500
0.500 0.000 0.000
0.500 0.500 0.500
0.000 0.000 0.000
```

=====

# 9
Density functional theory data (PBE-GGA) for an optimized crystal structure of VFeCu.

## Properties
energy of formation from the pure elements = 0.07 eV per atom
density of states at the Fermi level = 2.23 states/eV/f.u.
relative energy among the computed polymorphs = 80 meV/atom
raw total energy = -7.160 eV per atom

Geometry as POSCAR:
```
VFeCu
1.0
2.480 0.000 0.000
0.000 4.099 0.000
0.000 -2.049 3.550
Fe Cu V
1 1 1
Direct
0.703 0.333 0.667
0.338 0.667 0.333
0.958 0.000 0.000
```

=====

# 10
Density functional theory data (PBE-GGA) for an optimized crystal structure of VFe3Cu.

## Properties
energy of formation from the pure elements = 1.17 eV per atom
density of states at the Fermi level = 6.06 states/eV/f.u.
relative energy among the computed polymorphs = 16 meV/atom
raw total energy = -6.549 eV per atom

Geometry as POSCAR:
```
VFe3Cu
1.0
4.337 0.000 0.000
0.000 4.337 0.000
0.000 0.000 4.337
Fe Cu V
3 1 1
Direct
0.000 0.500 0.000
0.000 0.000 0.500
0.500 0.000 0.000
0.000 0.000 0.000
0.500 0.500 0.500
```

=====

# 11
Density functional theory data (PBE-GGA) for an optimized crystal structure of VFe2Cu.

## Properties
energy of formation from the pure elements = 0.51 eV per atom
density of states at the Fermi level = 4.57 states/eV/f.u.
raw total energy = -7.028 eV per atom

Geometry as POSCAR:
```
VFe2Cu
1.0
3.534 0.000 0.000
0.000 3.534 0.000
1.767 1.767 8.466
Fe Cu V
4 2 2
Direct
0.627 0.125 0.250
0.123 0.625 0.250
0.375 0.373 0.750
0.875 0.877 0.750
0.000 0.000 0.000
0.750 0.250 0.500
0.500 0.500 0.000
0.250 0.750 0.500
```

=====

# 12
Density functional theory data (PBE-GGA) for an optimized crystal structure of FeCuW2.

## Properties
energy of formation from the pure elements = 0.23 eV per atom
density of states at the Fermi level = 2.72 states/eV/f.u.
relative energy among the computed polymorphs = 17 meV/atom
raw total energy = -9.389 eV per atom

Geometry as POSCAR:
```
FeCuW2
1.0
4.325 0.000 0.000
0.000 2.629 -0.016
0.000 0.632 4.903
Cu Fe W
1 1 2
Direct
0.000 0.615 0.493
0.500 0.665 0.761
0.000 0.994 0.974
0.500 0.226 0.271
```

=====

# 13
Density functional theory data (PBE-GGA) for an optimized crystal structure of FeCuW.

## Properties
energy of formation from the pure elements = 0.99 eV per atom
density of states at the Fermi level = 3.29 states/eV/f.u.
relative energy among the computed polymorphs = 762 meV/atom
raw total energy = -7.510 eV per atom

Geometry as POSCAR:
```
FeCuW
1.0
4.037 0.000 0.000
2.019 3.496 0.000
2.019 1.165 3.296
Cu Fe W
1 1 1
Direct
0.000 0.000 0.000
0.500 0.500 0.500
0.750 0.750 0.750
```

=====

# 14
Density functional theory data (PBE-GGA) for an optimized crystal structure of FeCuW2.

## Properties
energy of formation from the pure elements = 0.37 eV per atom
density of states at the Fermi level = 4.02 states/eV/f.u.
relative energy among the computed polymorphs = 164 meV/atom
raw total energy = -9.242 eV per atom

Geometry as POSCAR:
```
FeCuW2
1.0
3.184 0.000 0.000
0.000 3.184 0.000
0.000 0.000 5.491
Cu Fe W
1 1 2
Direct
0.500 0.500 0.250
0.500 0.500 0.750
0.000 0.000 0.994
0.000 0.000 0.506
```

=====

# 15
Density functional theory data (PBE-GGA) for an optimized crystal structure of FeCu3W.

## Properties
energy of formation from the pure elements = 1.53 eV per atom
density of states at the Fermi level = 4.23 states/eV/f.u.
relative energy among the computed polymorphs = 0 meV/atom
raw total energy = -5.212 eV per atom

Geometry as POSCAR:
```
FeCu3W
1.0
-1.845 -3.841 0.159
2.333 -1.258 -3.340
3.056 -1.358 2.646
Cu W Fe
3 1 1
Direct
0.000 0.500 0.000
0.000 0.000 0.500
0.500 0.000 0.000
0.500 0.500 0.500
0.000 0.000 0.000
```

=====

# 16
Density functional theory data (PBE-GGA) for an optimized crystal structure of Fe2CuW2.

## Properties
energy of formation from the pure elements = 0.28 eV per atom
density of states at the Fermi level = 3.17 states/eV/f.u.
relative energy among the computed polymorphs = 0 meV/atom
raw total energy = -9.102 eV per atom

Geometry as POSCAR:
```
Fe2CuW2
1.0
6.939 0.000 0.000
0.000 6.939 0.000
0.000 0.000 2.814
Cu W Fe
2 4 4
Direct
0.000 0.000 0.000
0.500 0.500 0.000
0.166 0.666 0.500
0.666 0.834 0.500
0.834 0.334 0.500
0.334 0.166 0.500
0.367 0.867 0.000
0.867 0.633 0.000
0.633 0.133 0.000
0.133 0.367 0.000
```

=====

# 17
Density functional theory data (PBE-GGA) for an optimized crystal structure of FeCuW2.

## Properties
energy of formation from the pure elements = 0.29 eV per atom
density of states at the Fermi level = 3.11 states/eV/f.u.
relative energy among the computed polymorphs = 75 meV/atom
raw total energy = -9.331 eV per atom

Geometry as POSCAR:
```
FeCuW2
1.0
4.625 0.016 0.000
1.423 4.400 0.000
-3.024 -2.208 2.715
Cu Fe W
1 1 2
Direct
0.250 0.750 0.500
0.750 0.250 0.500
0.000 0.000 0.000
0.500 0.500 0.000
```

=====

# 18
Density functional theory data (PBE-GGA) for an optimized crystal structure of FeCuW2.

## Properties
energy of formation from the pure elements = 0.27 eV per atom
density of states at the Fermi level = 3.44 states/eV/f.u.
relative energy among the computed polymorphs = 62 meV/atom
raw total energy = -9.345 eV per atom

Geometry as POSCAR:
```
FeCuW2
1.0
3.183 0.000 0.000
0.000 3.183 0.000
0.000 0.000 5.543
Cu Fe W
1 1 2
Direct
0.000 0.000 0.514
0.500 0.500 0.733
0.000 0.000 0.990
0.500 0.500 0.263
```

=====

# 19
Density functional theory data (PBE-GGA) for an optimized crystal structure of FeCuW2.

## Properties
energy of formation from the pure elements = 0.37 eV per atom
density of states at the Fermi level = 2.78 states/eV/f.u.
relative energy among the computed polymorphs = 157 meV/atom
raw total energy = -9.250 eV per atom

Geometry as POSCAR:
```
FeCuW2
1.0
4.676 0.002 -0.013
3.946 2.508 -0.013
0.652 0.190 4.905
Cu Fe W
1 1 2
Direct
0.750 0.750 0.750
0.250 0.250 0.250
0.001 0.001 0.000
0.499 0.499 0.500
```

=====

# 20
Density functional theory data (PBE-GGA) for an optimized crystal structure of FeCuW3.

## Properties
energy of formation from the pure elements = 1.49 eV per atom
density of states at the Fermi level = 5.37 states/eV/f.u.
relative energy among the computed polymorphs = 0 meV/atom
raw total energy = -8.798 eV per atom

Geometry as POSCAR:
```
FeCuW3
1.0
-3.213 0.833 2.949
-3.046 -0.406 -3.205
-0.332 -4.342 0.865
Cu W Fe
1 3 1
Direct
0.500 0.500 0.500
0.000 0.500 0.000
0.000 0.000 0.500
0.500 0.000 0.000
0.000 0.000 0.000
```

=====

# 21
Density functional theory data (PBE-GGA) for an optimized crystal structure of FeCuW2.

## Properties
energy of formation from the pure elements = 0.31 eV per atom
density of states at the Fermi level = 2.73 states/eV/f.u.
relative energy among the computed polymorphs = 96 meV/atom
raw total energy = -9.310 eV per atom

Geometry as POSCAR:
```
FeCuW2
1.0
2.617 0.000 0.000
0.000 3.979 0.000
0.000 0.000 5.444
Cu Fe W
1 1 2
Direct
0.000 0.000 0.509
0.500 0.500 0.736
0.000 0.000 0.989
0.500 0.500 0.266
```

=====

# 22
Density functional theory data (PBE-GGA) for an optimized crystal structure of FeCuW2.

## Properties
energy of formation from the pure elements = 0.27 eV per atom
density of states at the Fermi level = 2.54 states/eV/f.u.
relative energy among the computed polymorphs = 59 meV/atom
raw total energy = -9.347 eV per atom

Geometry as POSCAR:
```
FeCuW2
1.0
-3.337 -4.651 -1.848
0.802 0.741 4.478
-2.672 0.150 0.451
Cu Fe W
1 1 2
Direct
0.000 0.500 0.500
0.500 0.500 0.000
0.000 0.000 0.000
0.500 0.000 0.500
```

=====

# 23
Density functional theory data (PBE-GGA) for an optimized crystal structure of FeCuW.

## Properties
energy of formation from the pure elements = 0.23 eV per atom
density of states at the Fermi level = 2.43 states/eV/f.u.
relative energy among the computed polymorphs = 0 meV/atom
raw total energy = -8.271 eV per atom

Geometry as POSCAR:
```
FeCuW
1.0
-3.168 -2.431 1.310
3.520 0.274 2.280
-0.993 1.990 1.294
Cu Fe W
1 1 1
Direct
0.000 0.000 0.072
0.667 0.333 0.304
0.333 0.667 0.624
```

=====

# 24
Density functional theory data (PBE-GGA) for an optimized crystal structure of FeCuW2.

## Properties
energy of formation from the pure elements = 0.42 eV per atom
density of states at the Fermi level = 3.71 states/eV/f.u.
relative energy among the computed polymorphs = 210 meV/atom
raw total energy = -9.196 eV per atom

Geometry as POSCAR:
```
FeCuW2
1.0
8.963 0.001 0.001
8.547 2.698 0.001
8.547 1.318 2.354
Cu Fe W
1 1 2
Direct
0.495 0.495 0.495
0.751 0.751 0.751
0.007 0.007 0.007
0.247 0.247 0.247
```

=====

# 25
Density functional theory data (PBE-GGA) for an optimized crystal structure of Fe2CuW2.

## Properties
energy of formation from the pure elements = 0.56 eV per atom
density of states at the Fermi level = 4.11 states/eV/f.u.
relative energy among the computed polymorphs = 274 meV/atom
raw total energy = -8.828 eV per atom

Geometry as POSCAR:
```
Fe2CuW2
1.0
-1.248 -3.192 -2.149
3.699 -1.620 0.257
0.001 -4.576 2.988
Cu W Fe
1 2 2
Direct
0.000 0.000 0.000
0.750 0.250 0.500
0.250 0.750 0.500
0.386 0.386 0.229
0.614 0.614 0.771
```

=====

# 26
Density functional theory data (PBE-GGA) for an optimized crystal structure of FeCuW.

## Properties
energy of formation from the pure elements = 0.23 eV per atom
density of states at the Fermi level = 1.77 states/eV/f.u.
relative energy among the computed polymorphs = 2 meV/atom
raw total energy = -8.269 eV per atom

Geometry as POSCAR:
```
FeCuW
1.0
-3.992 1.390 -1.640
-1.131 -1.188 -4.227
1.102 -1.420 4.163
Cu Fe W
1 1 1
Direct
0.997 0.997 0.000
0.337 0.337 0.000
0.666 0.666 0.000
```

=====

# 27
Density functional theory data (PBE-GGA) for an optimized crystal structure of FeCuW2.

## Properties
energy of formation from the pure elements = 0.42 eV per atom
density of states at the Fermi level = 3.26 states/eV/f.u.
relative energy among the computed polymorphs = 208 meV/atom
raw total energy = -9.198 eV per atom

Geometry as POSCAR:
```
FeCuW2
1.0
-3.879 -0.136 -1.905
-3.259 -2.129 1.881
-3.319 2.191 1.696
Cu Fe W
1 1 2
Direct
0.500 0.500 0.500
0.250 0.250 0.250
0.000 0.000 0.000
0.750 0.750 0.750
```

=====

# 28
Density functional theory data (PBE-GGA) for an optimized crystal structure of FeCuW2.

## Properties
energy of formation from the pure elements = 0.38 eV per atom
density of states at the Fermi level = 3.41 states/eV/f.u.
relative energy among the computed polymorphs = 166 meV/atom
raw total energy = -9.241 eV per atom

Geometry as POSCAR:
```
FeCuW2
1.0
8.964 0.000 0.000
8.553 2.685 0.000
8.553 1.311 2.343
Cu Fe W
1 1 2
Direct
0.250 0.250 0.250
0.750 0.750 0.750
0.003 0.003 0.003
0.497 0.497 0.497
```

=====

# 29
Density functional theory data (PBE-GGA) for an optimized crystal structure of FeCuW2.

## Properties
energy of formation from the pure elements = 0.79 eV per atom
density of states at the Fermi level = 4.12 states/eV/f.u.
relative energy among the computed polymorphs = 577 meV/atom
raw total energy = -8.829 eV per atom

Geometry as POSCAR:
```
FeCuW2
1.0
6.812 0.000 0.000
0.000 6.812 0.000
3.406 3.406 2.578
Cu W Fe
2 4 2
Direct
0.000 0.000 0.000
0.750 0.250 0.500
0.590 0.125 0.250
0.160 0.625 0.250
0.375 0.410 0.750
0.875 0.840 0.750
0.500 0.500 0.000
0.250 0.750 0.500
```